{"formula": "VCrNi", "functional": "PBE", "state": "relaxed", "dos_at_fermi_per_ev_atom": 1.04, "formation_enthalpy_0k_kj_per_mol_atoms": -0.2, "de_polymorph_ev_per_atom": 0.0579, "spacegroup": "C2/m (12)", "total_energy_ev_per_atom": -8.177, "lattice": [[-2.963, -3.532, 1.997], [2.820, -2.662, -0.523], [5.116, 4.452, 4.930]], "species": ["V", "V", "V", "V", "Cr", "Cr", "Cr", "Cr", "Ni", "Ni", "Ni", "Ni"], "frac_coords": [[0.179, 0.000, 0.322], [0.821, 0.000, 0.678], [0.179, 0.500, 0.822], [0.821, 0.500, 0.178], [0.500, 0.500, 0.500], [0.000, 0.500, 0.500], [0.500, 0.000, 0.000], [0.000, 0.000, 0.000], [0.331, 0.500, 0.163], [0.669, 0.000, 0.337], [0.669, 0.500, 0.837], [0.331, 0.000, 0.663]]}